Entry 1:
An optimized crystal structure of CeLuCdCu. Source: Alexandria, functional GGA-PBE.

## Properties
DFT formation energy: -10.8 kJ per mole of atoms
Fermi-level density of states: 8.04 states/eV per cell
Space-group type: F-43m
Density: 8.49 g/cm3

Cell lengths 5.1404, 5.1404, 5.1404 Å; angles 60.00, 60.00, 60.00 degrees
With the nearest neighbours (Å) after each atom.
Fractional positions:
Lu  0.2500  0.2500  0.2500  4 Cu 3.15, 4 Cd 3.15
Cd  0.0000  0.0000  0.0000  4 Ce 3.15, 4 Lu 3.15
Ce  0.7500  0.7500  0.7500  4 Cu 3.15, 4 Cd 3.15
Cu  0.5000  0.5000  0.5000  4 Ce 3.15, 4 Lu 3.15

Entry 2:
An optimized crystal structure of LiAlC. Source: Alexandria, functional GGA-PBE.

## Properties
DFT formation energy: 13.3 kJ per mole of atoms
Fermi-level density of states: 1.44 states/eV per cell
Space-group type: C2/m
Density: 2.12 g/cm3

Cell lengths 11.1673, 4.6683, 4.6683 Å; angles 142.69, 145.79, 34.21 degrees
With the nearest neighbours (Å) after each atom.
Fractional positions:
Li  0.6343  0.5065  0.4935  4 C 2.23-2.29
Li  0.3656  0.4935  0.5065  4 C 2.23-2.29
C  0.6058  0.8427  0.1573  1 C 1.36
C  0.3941  0.1573  0.8427  1 C 1.36
Al  0.1302  0.9994  0.0006  2 C 2.12
Al  0.8697  0.0006  0.9994  2 C 2.12

Entry 3:
An optimized crystal structure of Cs2LiScCl6. Source: Alexandria, functional GGA-PBE.

## Properties
Fermi-level density of states: 0.00 states/eV per cell
Space-group type: R-3m
Formation energy (no corrections): -2069 meV/atom
Density: 3.03 g/cm3

Cell lengths 7.4127, 7.4127, 12.9370 Å; angles 73.35, 73.35, 60.00 degrees
With the nearest neighbours (Å) after each atom.
Fractional positions:
Cl  0.1466  0.6096  0.6342  1 Sc 2.51, 1 Li 2.57
Cl  0.7873  0.7873  0.1250  1 Sc 2.51, 1 Li 2.67
Cl  0.2127  0.2127  0.8750  1 Sc 2.51, 1 Li 2.67
Cl  0.2127  0.6996  0.8750  1 Sc 2.51, 1 Li 2.67
Cl  0.3904  0.3904  0.3658  1 Sc 2.51, 1 Li 2.57
Cl  0.3004  0.7873  0.1250  1 Sc 2.51, 1 Li 2.67
Cl  0.6096  0.6096  0.6342  1 Sc 2.51, 1 Li 2.57
Cl  0.6996  0.2127  0.8750  1 Sc 2.51, 1 Li 2.67
Cl  0.6096  0.1466  0.6342  1 Sc 2.51, 1 Li 2.57
Cl  0.7873  0.3004  0.1250  1 Sc 2.51, 1 Li 2.67
Cl  0.3904  0.8534  0.3658  1 Sc 2.51, 1 Li 2.57
Cl  0.8534  0.3904  0.3658  1 Sc 2.51, 1 Li 2.57
Sc  0.4130  0.4130  0.7609  6 Cl 2.51
Sc  0.5870  0.5870  0.2391  6 Cl 2.51
Li  0.0000  0.0000  0.0000  6 Cl 2.67
Li  0.5000  0.5000  0.5000  6 Cl 2.57
Cs  0.1269  0.1269  0.6194  12 Cl 3.71-3.86
Cs  0.2903  0.2903  0.1291  12 Cl 3.69-3.74
Cs  0.7097  0.7097  0.8709  12 Cl 3.69-3.74
Cs  0.8731  0.8731  0.3806  12 Cl 3.71-3.86